Entry 1:
Compound: TlOsCl2
Source: Alexandria via LeMat-Bulk
Functional: GGA-PBE
Structure: relaxed

Formation energy from raw total energies in eV/atom: 0.32
Total moment in μB/f.u.: 0.00
Excess energy over the best structure of this formula in the dataset in eV/atom: 0.213

Cell: 3.0923 5.9234 9.7222 Å, 90.00 90.00 90.00°
Space group Cmmm (No. 65)
Asymmetric unit:
Tl 0.0000 0.0000 0.0000 x2
Os 0.0000 0.0000 0.5000 x2
Cl 0.0000 0.5000 0.3127 x4

***

Entry 2:
Compound: TlOs2Cl
Source: Alexandria via LeMat-Bulk
Functional: GGA-PBE
Structure: relaxed

Formation energy from raw total energies in eV/atom: 1.55
Total moment in μB/f.u.: 0.00
Excess energy over the best structure of this formula in the dataset in eV/atom: 1.183

Cell: 6.9890 6.9890 5.8786 Å, 90.00 90.00 90.00°
Space group I-42d (No. 122)
Asymmetric unit:
Tl 0.0000 0.0000 0.0000 x4
Os 0.1731 0.2500 0.6250 x8
Cl 0.0000 0.0000 0.5000 x4

***

Entry 3:
Compound: Tl2OsCl6
Source: Alexandria via LeMat-Bulk
Functional: GGA-PBE
Structure: relaxed

Formation energy from raw total energies in eV/atom: -0.71
Total moment in μB/f.u.: 2.00
Excess energy over the best structure of this formula in the dataset in eV/atom: 0.009

Cell: 7.2647 8.7443 12.4802 Å, 90.00 125.54 90.00°
Space group P2_1/c (No. 14)
Asymmetric unit:
Tl 0.2405 0.0005 0.2408 x4
Os 0.5000 0.0000 0.0000 x2
Cl 0.2129 0.6591 0.3374 x4
Cl 0.2254 0.1465 0.9998 x4
Cl 0.4610 0.1580 0.8364 x4

***

Entry 4:
Compound: TlOs2Cl
Source: Alexandria via LeMat-Bulk
Functional: GGA-PBE
Structure: relaxed

Formation energy from raw total energies in eV/atom: 0.48
Total moment in μB/f.u.: 0.00
Excess energy over the best structure of this formula in the dataset in eV/atom: 0.120

Cell: 2.9214 2.9214 9.3675 Å, 90.00 90.00 90.00°
Space group P4mm (No. 99)
Asymmetric unit:
Tl 0.0000 0.0000 0.0000 x1
Os 0.0000 0.0000 0.5688 x1
Os 0.5000 0.5000 0.7349 x1
Cl 0.5000 0.5000 0.3774 x1

***

Repeat the second record exactly.
Compound: TlOs2Cl
Source: Alexandria via LeMat-Bulk
Functional: GGA-PBE
Structure: relaxed

Formation energy from raw total energies in eV/atom: 1.55
Total moment in μB/f.u.: 0.00
Excess energy over the best structure of this formula in the dataset in eV/atom: 1.183

Cell: 6.9890 6.9890 5.8786 Å, 90.00 90.00 90.00°
Space group I-42d (No. 122)
Asymmetric unit:
Tl 0.0000 0.0000 0.0000 x4
Os 0.1731 0.2500 0.6250 x8
Cl 0.0000 0.0000 0.5000 x4

***

- Which value of excess energy over the best structure of this formula in the dataset does entry 1 give?
  0.213 eV/atom

***

- What is the formula in the second record?
  TlOs2Cl

***

- The lowest excess energy over the best structure of this formula in the dataset belongs to which entry?
  Tl2OsCl6